# 1
Density functional theory data (GGA-PBE) for a relaxed Li3ScHg3 crystal.

V: 24.225 A^3/atom
D(E_F): 0.98 states/eV/atom
Calculated formation energy: 0.177 eV per atom

a b c (Å): 6.974 6.974 6.974
angles (deg): 90.00 90.00 90.00
Space group Pm-3n (No. 223)
One atom of each set of equivalent atoms:
Li 0.000 0.250 0.500 x6
Sc 0.000 0.000 0.000 x2
Hg 0.000 0.500 0.250 x6

=====

# 2
Density functional theory data (GGA-PBE) for a relaxed Sm3Th5Te12 crystal.

V: 39.211 A^3/atom
D(E_F): 1.23 states/eV/atom
ΔE_f (raw): -851 meV per atom

a b c (Å): 18.443 18.443 18.443
angles (deg): 90.00 90.00 90.00
Space group Ia-3d (No. 230)
One atom of each set of equivalent atoms:
Sm 0.000 0.250 0.125 x24
Th 0.000 0.000 0.000 x16
Th 0.000 0.250 0.375 x24
Te 0.021 0.077 0.651 x96